(1)
Entry from Alexandria via LeMat-Bulk: Tb2Sm7Dy4 after structural relaxation (GGA-PBE).

a = 6.148 Å, b = 6.151 Å, c = 13.200 Å
α = 90.03°, β = 90.02°, γ = 119.97°
Space group P-1 (No. 2)
Unique sites:
Tb1 0.168 0.334 0.000 x2
Sm1 0.133 0.001 0.220 x2
Sm2 0.133 0.632 0.779 x2
Sm3 0.500 0.000 0.000 x1
Sm4 0.500 0.366 0.779 x2
Dy1 0.166 0.331 0.500 x2
Dy2 0.499 0.998 0.607 x2

Calculated values
**Formation energy from the elements**: 0.152 eV per atom

---

(2)
Entry from Alexandria via LeMat-Bulk: KThNpO6 after structural relaxation (GGA-PBE).

a = 7.506 Å, b = 8.088 Å, c = 10.381 Å
α = 90.00°, β = 90.00°, γ = 90.00°
Space group Imma (No. 74)
Unique sites:
K1 0.000 0.250 0.141 x4
Th1 0.250 0.250 0.750 x4
Np1 0.000 0.000 0.500 x4
O1 0.000 0.250 0.589 x4
O2 0.000 0.250 0.861 x4
O3 0.184 0.025 0.371 x16

Calculated values
**Formation energy (no corrections)**: -2857 meV/atom

---

(3)
Entry from Alexandria via LeMat-Bulk: Sm2SiPt3 after structural relaxation (GGA-PBE).

a = 3.821 Å, b = 4.264 Å, c = 7.772 Å
α = 90.00°, β = 90.00°, γ = 90.00°
Space group Pmm2 (No. 25)
Unique sites:
Sm1 0.000 0.000 0.000 x1
Sm2 0.000 0.500 0.480 x1
Si1 0.500 0.500 0.815 x1
Pt1 0.500 0.000 0.333 x1
Pt2 0.500 0.000 0.680 x1
Pt3 0.500 0.500 0.120 x1

Calculated values
**Formation energy (no corrections)**: -1102 meV/atom

---

(4)
Entry from Alexandria via LeMat-Bulk: Th4PRh12 after structural relaxation (GGA-PBE).

a = 8.405 Å, b = 8.405 Å, c = 8.405 Å
α = 90.00°, β = 90.00°, γ = 90.00°
Space group Im-3m (No. 229)
Unique sites:
Th1 0.250 0.250 0.250 x8
P1 0.000 0.000 0.000 x2
Rh1 0.000 0.000 0.271 x12
Rh2 0.000 0.250 0.500 x12

Calculated values
**Formation energy from the elements**: -0.865 eV per atom

---

(5)
Entry from Alexandria via LeMat-Bulk: Pu8Ru3Pt2 after structural relaxation (GGA-PBE).

a = 13.789 Å, b = 10.149 Å, c = 4.383 Å
α = 90.00°, β = 99.06°, γ = 90.00°
Space group C2/m (No. 12)
Unique sites:
Pu1 0.091 0.000 0.377 x4
Pu2 0.129 0.500 0.537 x4
Pu3 0.130 0.251 0.040 x8
Ru1 0.000 0.268 0.500 x4
Ru2 0.000 0.500 0.000 x2
Pt1 0.234 0.000 0.917 x4

Calculated values
**Formation energy from the elements**: -0.224 eV per atom

---

(6)
Entry from Alexandria via LeMat-Bulk: La4Tb7Th after structural relaxation (GGA-PBE).

a = 12.220 Å, b = 6.041 Å, c = 12.938 Å
α = 90.00°, β = 117.51°, γ = 90.00°
Space group C2/m (No. 12)
Unique sites:
La1 0.057 0.000 0.336 x4
La2 0.140 0.500 0.778 x4
Tb1 0.000 0.000 0.000 x2
Tb2 0.138 0.500 0.506 x4
Tb3 0.211 0.000 0.924 x4
Tb4 0.243 0.500 0.311 x4
Th1 0.000 0.500 0.000 x2

Calculated values
**Formation energy from the elements**: 0.270 eV per atom
**Offset from the most stable computed form**: 0.2546 eV/atom

---

(7)
Entry from Alexandria via LeMat-Bulk: LiTmHf after structural relaxation (GGA-PBE).

a = 3.239 Å, b = 3.239 Å, c = 13.627 Å
α = 90.00°, β = 90.00°, γ = 90.00°
Space group P4/nmm (No. 129, origin choice 2)
Unique sites:
Li1 0.250 0.250 0.069 x2
Tm1 0.250 0.250 0.396 x2
Hf1 0.250 0.250 0.764 x2

Calculated values
**Formation energy from the elements**: 0.182 eV per atom
**Offset from the most stable computed form**: 0.0026 eV/atom

---

(8)
Entry from Alexandria via LeMat-Bulk: CaAlSe2 after structural relaxation (GGA-PBE).

a = 3.963 Å, b = 3.839 Å, c = 12.412 Å
α = 90.00°, β = 90.00°, γ = 90.00°
Space group Amm2 (No. 38)
Unique sites:
Ca1 0.000 0.000 0.000 x2
Al1 0.500 0.000 0.769 x2
Se1 0.000 0.000 0.305 x2
Se2 0.500 0.000 0.574 x2

Calculated values
**Formation energy (no corrections)**: -1172 meV/atom